A.
The following is a DFT calculation (PBE) of a relaxed structure of UPaTc.

V (Å³/cell): 60.5

Cell: 3.0880 3.0880 7.3286 Å, 90.00 90.00 120.00°
Closest atoms and distances in Å follow each position.
Sites, in units of the cell vectors:
U  0.3333  0.6667  0.8135  1 Pa 2.79, 3 Tc 2.80, 6 U 3.09
Tc  0.0000  0.0000  0.5184  3 U 2.80, 3 Pa 2.97, 6 Tc 3.09
Pa  0.3333  0.6667  0.1948  1 U 2.79, 3 Tc 2.97, 6 Pa 3.09



B.
The following is a DFT calculation (PBE) of a relaxed structure of UPaTc.

V (Å³/cell): 130.0

Cell: 5.0702 4.6638 6.7997 Å, 102.99 90.00 122.93°
Closest atoms and distances in Å follow each position.
Sites, in units of the cell vectors:
U  0.6492  0.2984  0.4483  1 U 2.61, 1 Tc 2.73, 1 Pa 2.78
U  0.3508  0.7016  0.5517  1 U 2.61, 1 Tc 2.73, 1 Pa 2.78
Pa  0.7771  0.5543  0.8712  2 Tc 2.76-2.83, 1 U 2.78
Pa  0.2229  0.4457  0.1288  2 Tc 2.76-2.83, 1 U 2.78
Tc  0.9392  0.8785  0.2967  1 Tc 2.67, 1 U 2.73, 2 Pa 2.76-2.83
Tc  0.0608  0.1215  0.7033  1 Tc 2.67, 1 U 2.73, 2 Pa 2.76-2.83



C.
The following is a DFT calculation (PBE) of a relaxed structure of UPaTc.

V (Å³/cell): 59.0

Cell: 3.4738 3.4738 5.4718 Å, 108.51 108.51 90.00°
Closest atoms and distances in Å follow each position.
Sites, in units of the cell vectors:
Pa  0.6088  0.6088  0.2176  4 U 2.89, 5 Tc 3.01-3.14
U  0.9539  0.9539  0.9079  4 Pa 2.89, 4 Tc 2.95
Tc  0.2873  0.2873  0.5746  5 U 2.95-3.26, 5 Pa 3.01-3.14



Winner for stability: C



A.
The following is a DFT calculation (PBE) of a relaxed structure of PaTcW.

V (Å³/cell): 59.0

Cell: 2.9424 2.9424 7.1223 Å, 101.92 101.92 90.00°
Closest atoms and distances in Å follow each position.
Sites, in units of the cell vectors:
Pa  0.6204  0.6204  0.2408  1 Tc 2.52, 1 W 2.67
Tc  0.8052  0.8052  0.6103  1 Pa 2.52, 4 W 2.64
W  0.4244  0.4244  0.8489  4 Tc 2.64, 1 Pa 2.67, 4 W 2.94



B.
The following is a DFT calculation (PBE) of a relaxed structure of PaTcW.

V (Å³/cell): 54.4

Cell: 2.9542 4.6096 4.6096 Å, 120.00 90.00 90.00°
Closest atoms and distances in Å follow each position.
Sites, in units of the cell vectors:
Pa  0.9935  0.0000  0.0000  3 Tc 2.80, 3 W 2.82, 2 Pa 2.95
Tc  0.6944  0.6667  0.3333  3 Pa 2.80, 3 W 2.89, 2 Tc 2.95
W  0.3121  0.3333  0.6667  3 Pa 2.82, 3 Tc 2.89, 2 W 2.95



C.
The following is a DFT calculation (PBE) of a relaxed structure of PaTcW.

V (Å³/cell): 235.0

Cell: 3.1061 8.8358 8.8358 Å, 88.23 79.88 79.88°
Closest atoms and distances in Å follow each position.
Sites, in units of the cell vectors:
W  0.1868  0.0000  0.6265  2 W 2.69, 4 Tc 2.81, 2 Pa 2.92
W  0.8132  0.3735  0.0000  2 W 2.69, 4 Tc 2.81, 2 Pa 2.92
W  0.8132  0.0000  0.3735  2 W 2.69, 4 Tc 2.81, 2 Pa 2.92
W  0.1868  0.6265  0.0000  2 W 2.69, 4 Tc 2.81, 2 Pa 2.92
Pa  0.0000  0.3333  0.6667  2 Tc 2.75, 2 W 2.92
Pa  0.6667  0.3333  0.3333  2 Tc 2.75, 2 W 2.92
Pa  0.3333  0.6667  0.6667  2 Tc 2.75, 2 W 2.92
Pa  0.0000  0.6667  0.3333  2 Tc 2.75, 2 W 2.92
Tc  0.5000  0.1487  0.8513  2 Tc 2.59, 2 Pa 2.75, 4 W 2.81
Tc  0.3513  0.1487  0.1487  2 Tc 2.59, 2 Pa 2.75, 4 W 2.81
Tc  0.6487  0.8513  0.8513  2 Tc 2.59, 2 Pa 2.75, 4 W 2.81
Tc  0.5000  0.8513  0.1487  2 Tc 2.59, 2 Pa 2.75, 4 W 2.81



Winner for stability: B



A.
The following is a DFT calculation (PBE) of a relaxed structure of YPa2Tc.

V (Å³/cell): 94.7

Cell: 4.7704 4.7704 5.5368 Å, 64.48 64.48 60.00°
Closest atoms and distances in Å follow each position.
Sites, in units of the cell vectors:
Y  0.0000  0.0000  0.0000  6 Pa 3.07
Pa  0.7607  0.7607  0.7178  3 Tc 2.95, 3 Y 3.07
Pa  0.2393  0.2393  0.2822  3 Tc 2.95, 3 Y 3.07
Tc  0.5000  0.5000  0.5000  6 Pa 2.95



B.
The following is a DFT calculation (PBE) of a relaxed structure of YPa2Tc.

V (Å³/cell): 98.8

Cell: 3.3142 3.3142 8.9971 Å, 90.00 90.00 90.00°
Closest atoms and distances in Å follow each position.
Sites, in units of the cell vectors:
Y  0.5000  0.5000  0.5000  4 Y 3.31, 8 Pa 3.59
Pa  0.0000  0.0000  0.8026  4 Tc 2.94
Pa  0.0000  0.0000  0.1974  4 Tc 2.94
Tc  0.5000  0.5000  0.0000  8 Pa 2.94



Winner for stability: B



A.
The following is a DFT calculation (PBE) of a relaxed structure of Pa2ZnTc.

V (Å³/cell): 80.4

Cell: 4.1014 4.4267 4.4267 Å, 90.00 90.00 90.00°
Closest atoms and distances in Å follow each position.
Sites, in units of the cell vectors:
Zn  0.5000  0.5000  0.5000  8 Pa 3.02, 4 Tc 3.13
Pa  0.0000  0.0000  0.5000  4 Zn 3.02, 4 Tc 3.02, 4 Pa 3.13
Pa  0.0000  0.5000  0.0000  4 Tc 3.02, 4 Zn 3.02, 4 Pa 3.13
Tc  0.5000  0.0000  0.0000  8 Pa 3.02, 4 Zn 3.13



B.
The following is a DFT calculation (PBE) of a relaxed structure of Pa2ZnTc.

V (Å³/cell): 83.5

Cell: 4.9064 4.9064 4.9064 Å, 60.00 60.00 60.00°
Closest atoms and distances in Å follow each position.
Sites, in units of the cell vectors:
Zn  0.5000  0.5000  0.5000  8 Pa 3.00
Pa  0.2500  0.2500  0.2500  4 Tc 3.00, 4 Zn 3.00
Pa  0.7500  0.7500  0.7500  4 Zn 3.00, 4 Tc 3.00
Tc  0.0000  0.0000  0.0000  8 Pa 3.00



Winner for stability: A